Density functional theory data (GGA-PBE) for a relaxed Ba2MgSn3 crystal.

E_tot, eV per atom: -3.440
Crystal system: monoclinic

Cell and atoms, written as CIF:
```
data_Ba2MgSn3
_symmetry_space_group_name_H-M 'C 1 m 1'
_symmetry_Int_Tables_number 8
_cell_length_a 13.269
_cell_length_b 4.939
_cell_length_c 8.465
_cell_angle_alpha 90.00
_cell_angle_beta 129.52
_cell_angle_gamma 90.00
loop_
_symmetry_equiv_pos_as_xyz
'x,y,z'
'x,-y,z'
'x+1/2,y+1/2,z'
'x+1/2,-y+1/2,z'
loop_
_atom_site_label
_atom_site_type_symbol
_atom_site_fract_x
_atom_site_fract_y
_atom_site_fract_z
Ba1 Ba 0.000 0.000 0.000
Ba2 Ba 0.007 0.500 0.528
Mg1 Mg 0.270 0.500 0.106
Sn1 Sn 0.200 0.000 0.541
Sn2 Sn 0.274 0.000 0.950
Sn3 Sn 0.280 0.500 0.452
```

***

Density functional theory data (GGA-PBE) for a relaxed Ba3MgSn3 crystal.

E_tot, eV per atom: -3.393
Crystal system: monoclinic

Cell and atoms, written as CIF:
```
data_Ba3MgSn3
_symmetry_space_group_name_H-M 'C 1 2/m 1'
_symmetry_Int_Tables_number 12
_cell_length_a 12.655
_cell_length_b 5.275
_cell_length_c 16.727
_cell_angle_alpha 90.00
_cell_angle_beta 111.35
_cell_angle_gamma 90.00
loop_
_symmetry_equiv_pos_as_xyz
'x,y,z'
'-x,-y,-z'
'-x,y,-z'
'x,-y,z'
'x+1/2,y+1/2,z'
'-x+1/2,-y+1/2,-z'
'-x+1/2,y+1/2,-z'
'x+1/2,-y+1/2,z'
loop_
_atom_site_label
_atom_site_type_symbol
_atom_site_fract_x
_atom_site_fract_y
_atom_site_fract_z
Ba1 Ba 0.026 0.000 0.380
Ba2 Ba 0.097 0.000 0.922
Ba3 Ba 0.245 0.000 0.226
Mg1 Mg 0.240 0.500 0.406
Sn1 Sn 0.047 0.500 0.234
Sn2 Sn 0.110 0.500 0.076
Sn3 Sn 0.130 0.500 0.541
```

***

Density functional theory data (GGA-PBE) for a relaxed BaMg12Sn6 crystal.

E_tot, eV per atom: -2.476
Crystal system: trigonal

Cell and atoms, written as CIF:
```
data_BaMg12Sn6
_symmetry_space_group_name_H-M 'R -3 m'
_symmetry_Int_Tables_number 166
_symmetry_space_group_name_Hall '-R 3 2"'
_cell_length_a 12.7309
_cell_length_b 12.7309
_cell_length_c 11.7201
_cell_angle_alpha 90.00
_cell_angle_beta 90.00
_cell_angle_gamma 120.00
loop_
_atom_site_label
_atom_site_type_symbol
_atom_site_fract_x
_atom_site_fract_y
_atom_site_fract_z
Ba1 Ba 0.0000 0.0000 0.0000
Mg1 Mg 0.0000 0.3649 0.5000
Mg2 Mg 0.0917 0.1834 0.3934
Sn1 Sn 0.0356 0.5178 0.3049
```

***

Density functional theory data (GGA-PBE) for a relaxed BaMgSn crystal.

E_tot, eV per atom: -2.557
Crystal system: tetragonal

Cell and atoms, written as CIF:
```
data_BaMgSn
_symmetry_space_group_name_H-M 'P 4/n m m'
_symmetry_Int_Tables_number 129
_cell_length_a 4.981
_cell_length_b 4.981
_cell_length_c 8.458
_cell_angle_alpha 90.00
_cell_angle_beta 90.00
_cell_angle_gamma 90.00
loop_
_symmetry_equiv_pos_as_xyz
'x,y,z'
'-x,-y,-z'
'-y+1/2,x,z'
'y+1/2,-x,-z'
'-x+1/2,-y+1/2,z'
'x+1/2,y+1/2,-z'
'y,-x+1/2,z'
'-y,x+1/2,-z'
'x+1/2,-y,-z'
'-x+1/2,y,z'
'-y,-x,-z'
'y,x,z'
'-x,y+1/2,-z'
'x,-y+1/2,z'
'y+1/2,x+1/2,-z'
'-y+1/2,-x+1/2,z'
loop_
_atom_site_label
_atom_site_type_symbol
_atom_site_fract_x
_atom_site_fract_y
_atom_site_fract_z
Ba1 Ba 0.250 0.750 0.000
Mg1 Mg 0.250 0.250 0.360
Sn1 Sn 0.250 0.250 0.699
```

***

Density functional theory data (GGA-PBE) for a relaxed BaMg4Sn12 crystal.

E_tot, eV per atom: -3.319
Crystal system: cubic

Cell and atoms, written as CIF:
```
data_BaMg4Sn12
_symmetry_space_group_name_H-M 'I m -3'
_symmetry_Int_Tables_number 204
_symmetry_space_group_name_Hall '-I 2 2 3'
_cell_length_a 10.081
_cell_length_b 10.081
_cell_length_c 10.081
_cell_angle_alpha 90.00
_cell_angle_beta 90.00
_cell_angle_gamma 90.00
loop_
_atom_site_label
_atom_site_type_symbol
_atom_site_fract_x
_atom_site_fract_y
_atom_site_fract_z
Ba1 Ba 0.000 0.000 0.000
Mg1 Mg 0.250 0.250 0.250
Sn1 Sn 0.000 0.359 0.154
```

***

Density functional theory data (GGA-PBE) for a relaxed Ba2MgSn6 crystal.

E_tot, eV per atom: -3.704
Crystal system: trigonal

Cell and atoms, written as CIF:
```
data_Ba2MgSn6
_symmetry_space_group_name_H-M 'P -3 m 1'
_symmetry_Int_Tables_number 164
_symmetry_space_group_name_Hall '-P 3 2"'
_cell_length_a 7.0993
_cell_length_b 7.0993
_cell_length_c 6.3815
_cell_angle_alpha 90.00
_cell_angle_beta 90.00
_cell_angle_gamma 120.00
loop_
_atom_site_label
_atom_site_type_symbol
_atom_site_fract_x
_atom_site_fract_y
_atom_site_fract_z
Ba1 Ba 0.3333 0.6667 0.1591
Mg1 Mg 0.0000 0.0000 0.0000
Sn1 Sn 0.1794 0.3587 0.6635
```

***

Density functional theory data (GGA-PBE) for a relaxed Ba2MgSn crystal.

E_tot, eV per atom: -2.200
Crystal system: tetragonal

Cell and atoms, written as CIF:
```
data_Ba2MgSn
_symmetry_space_group_name_H-M 'I -4 2 d'
_symmetry_Int_Tables_number 122
_symmetry_space_group_name_Hall 'I -4 2bw'
_cell_length_a 5.483
_cell_length_b 5.483
_cell_length_c 23.723
_cell_angle_alpha 90.00
_cell_angle_beta 90.00
_cell_angle_gamma 90.00
loop_
_atom_site_label
_atom_site_type_symbol
_atom_site_fract_x
_atom_site_fract_y
_atom_site_fract_z
Ba1 Ba 0.238 0.250 0.125
Mg1 Mg 0.000 0.000 0.500
Sn1 Sn 0.000 0.000 0.000
```

***

Density functional theory data (GGA-PBE) for a relaxed BaSr2Mg2Sn2 crystal.

E_tot, eV per atom: -2.773
Crystal system: trigonal

Cell and atoms, written as CIF:
```
data_BaSr2Mg2Sn2
_symmetry_space_group_name_H-M 'R -3 m'
_symmetry_Int_Tables_number 166
_symmetry_space_group_name_Hall '-R 3 2"'
_cell_length_a 5.1601
_cell_length_b 5.1601
_cell_length_c 30.8764
_cell_angle_alpha 90.00
_cell_angle_beta 90.00
_cell_angle_gamma 120.00
loop_
_atom_site_label
_atom_site_type_symbol
_atom_site_fract_x
_atom_site_fract_y
_atom_site_fract_z
Ba1 Ba 0.0000 0.0000 0.0000
Sr1 Sr 0.0000 0.0000 0.1350
Mg1 Mg 0.0000 0.0000 0.4179
Sn1 Sn 0.0000 0.0000 0.2565
```

***

Density functional theory data (GGA-PBE) for a relaxed BaMgSnTe3 crystal.

E_form (uncorrected), kcal/mol of atoms: -21.7
Crystal system: monoclinic

Cell and atoms, written as CIF:
```
data_BaMgSnTe3
_symmetry_space_group_name_H-M 'P 1 21/m 1'
_symmetry_Int_Tables_number 11
_cell_length_a 9.755
_cell_length_b 4.608
_cell_length_c 10.494
_cell_angle_alpha 90.00
_cell_angle_beta 101.97
_cell_angle_gamma 90.00
loop_
_symmetry_equiv_pos_as_xyz
'x,y,z'
'-x,-y,-z'
'-x,y+1/2,-z'
'x,-y+1/2,z'
loop_
_atom_site_label
_atom_site_type_symbol
_atom_site_fract_x
_atom_site_fract_y
_atom_site_fract_z
Ba1 Ba 0.178 0.250 0.212
Mg1 Mg 0.096 0.250 0.604
Sn1 Sn 0.347 0.750 0.870
Te1 Te 0.108 0.250 0.870
Te2 Te 0.202 0.750 0.499
Te3 Te 0.431 0.750 0.159
```

***

Density functional theory data (GGA-PBE) for a relaxed Ba2MgTl3Sn4 crystal.

E_tot, eV per atom: -3.144
Crystal system: tetragonal

Cell and atoms, written as CIF:
```
data_Ba2MgTl3Sn4
_symmetry_space_group_name_H-M 'P -4 m 2'
_symmetry_Int_Tables_number 115
_cell_length_a 4.964
_cell_length_b 4.964
_cell_length_c 13.423
_cell_angle_alpha 90.00
_cell_angle_beta 90.00
_cell_angle_gamma 90.00
loop_
_symmetry_equiv_pos_as_xyz
'x,y,z'
'y,-x,-z'
'-x,-y,z'
'-y,x,-z'
'-x,y,z'
'-y,-x,-z'
'x,-y,z'
'y,x,-z'
loop_
_atom_site_label
_atom_site_type_symbol
_atom_site_fract_x
_atom_site_fract_y
_atom_site_fract_z
Ba1 Ba 0.000 0.500 0.246
Mg1 Mg 0.500 0.500 0.000
Tl1 Tl 0.000 0.000 0.000
Tl2 Tl 0.000 0.500 0.642
Sn1 Sn 0.000 0.000 0.500
Sn2 Sn 0.000 0.500 0.868
Sn3 Sn 0.500 0.500 0.500
```

***

Density functional theory data (GGA-PBE) for a relaxed BaMgTl2Sn crystal.

E_tot, eV per atom: -2.739
Crystal system: orthorhombic

Cell and atoms, written as CIF:
```
data_BaMgTl2Sn
_symmetry_space_group_name_H-M 'I m m 2'
_symmetry_Int_Tables_number 44
_cell_length_a 4.911
_cell_length_b 4.958
_cell_length_c 13.262
_cell_angle_alpha 90.00
_cell_angle_beta 90.00
_cell_angle_gamma 90.00
loop_
_symmetry_equiv_pos_as_xyz
'x,y,z'
'-x,-y,z'
'-x,y,z'
'x,-y,z'
'x+1/2,y+1/2,z+1/2'
'-x+1/2,-y+1/2,z+1/2'
'-x+1/2,y+1/2,z+1/2'
'x+1/2,-y+1/2,z+1/2'
loop_
_atom_site_label
_atom_site_type_symbol
_atom_site_fract_x
_atom_site_fract_y
_atom_site_fract_z
Ba1 Ba 0.000 0.000 0.000
Mg1 Mg 0.000 0.500 0.746
Tl1 Tl 0.000 0.000 0.385
Tl2 Tl 0.000 0.500 0.249
Sn1 Sn 0.000 0.000 0.611
```

***

Density functional theory data (GGA-PBE) for a relaxed Ba2Mg4TlSn3 crystal.

E_tot, eV per atom: -2.903
Crystal system: tetragonal

Cell and atoms, written as CIF:
```
data_Ba2Mg4TlSn3
_symmetry_space_group_name_H-M 'P -4 m 2'
_symmetry_Int_Tables_number 115
_cell_length_a 4.934
_cell_length_b 4.934
_cell_length_c 12.281
_cell_angle_alpha 90.00
_cell_angle_beta 90.00
_cell_angle_gamma 90.00
loop_
_symmetry_equiv_pos_as_xyz
'x,y,z'
'y,-x,-z'
'-x,-y,z'
'-y,x,-z'
'-x,y,z'
'-y,-x,-z'
'x,-y,z'
'y,x,-z'
loop_
_atom_site_label
_atom_site_type_symbol
_atom_site_fract_x
_atom_site_fract_y
_atom_site_fract_z
Ba1 Ba 0.000 0.500 0.248
Mg1 Mg 0.000 0.000 0.000
Mg2 Mg 0.000 0.500 0.633
Mg3 Mg 0.500 0.500 0.000
Tl1 Tl 0.000 0.000 0.500
Sn1 Sn 0.000 0.500 0.865
Sn2 Sn 0.500 0.500 0.500
```

***

Number 4 is which compound? BaMgSn